{
  "formula": "CaCo2P2O10",
  "functional": "PBE with a Hubbard U",
  "state": "optimized geometry",
  "volume_a3_per_cell": 330,
  "dft_energy_ev_per_atom": -6.563,
  "lattice_angstrom": [[0.000, 5.614, 7.923], [3.707, 0.000, 7.923], [3.707, 5.614, 0.000]],
  "species": ["Ca", "Ca", "Co", "Co", "Co", "Co", "P", "P", "P", "P", "O", "O", "O", "O", "O", "O", "O", "O", "O", "O", "O", "O", "O", "O", "O", "O", "O", "O", "O", "O"],
  "frac_coords": [[0.125, 0.125, 0.125], [0.875, 0.875, 0.875], [0.000, 0.500, 0.500], [0.500, 0.000, 0.500], [0.500, 0.500, 0.000], [0.500, 0.500, 0.500], [0.084, 0.084, 0.666], [0.334, 0.334, 0.916], [0.666, 0.666, 0.084], [0.916, 0.916, 0.334], [0.036, 0.248, 0.489], [0.109, 0.445, 0.141], [0.141, 0.805, 0.109], [0.195, 0.859, 0.555], [0.248, 0.036, 0.727], [0.273, 0.511, 0.752], [0.289, 0.289, 0.461], [0.445, 0.109, 0.805], [0.461, 0.461, 0.289], [0.489, 0.727, 0.036], [0.511, 0.273, 0.964], [0.539, 0.539, 0.711], [0.555, 0.891, 0.195], [0.711, 0.711, 0.539], [0.727, 0.489, 0.248], [0.752, 0.964, 0.273], [0.805, 0.141, 0.445], [0.859, 0.195, 0.891], [0.891, 0.555, 0.859], [0.964, 0.752, 0.511]]
}